1.
Compound: K2PbO3
Source: Alexandria via LeMat-Bulk
Functional: PBEsol
Structure: relaxed

E (eV per atom): -4.943
M_tot (μB per formula unit): 0.0

Cell: 6.005 6.005 12.395 Å, 90.00 90.00 120.00°
Fractional coordinates of all 24 atoms:
1 Pb 0.667 0.333 0.500
2 K 0.000 0.000 0.000
3 K 0.000 0.000 0.500
4 O 0.386 0.386 0.101
5 O 0.614 0.000 0.101
6 O 0.000 0.614 0.101
7 O 0.000 0.386 0.601
8 O 0.614 0.614 0.899
9 Pb 0.333 0.667 0.500
10 K 0.687 0.000 0.750
11 O 0.386 0.000 0.899
12 K 0.000 0.687 0.750
13 O 0.000 0.614 0.399
14 K 0.313 0.000 0.250
15 Pb 0.333 0.667 0.000
16 Pb 0.667 0.333 0.000
17 K 0.313 0.313 0.750
18 K 0.000 0.313 0.250
19 O 0.614 0.000 0.399
20 O 0.000 0.386 0.899
21 K 0.687 0.687 0.250
22 O 0.386 0.000 0.601
23 O 0.614 0.614 0.601
24 O 0.386 0.386 0.399

2.
Compound: K4PbO3
Source: Alexandria via LeMat-Bulk
Functional: PBEsol
Structure: relaxed

E (eV per atom): -4.264
N(E_F) (states/eV/cell): 0.00
M_tot (μB per formula unit): 0.0

Cell: 6.529 11.492 18.535 Å, 90.00 90.00 90.00°
Fractional coordinates of all 64 atoms:
1 K 0.556 0.623 0.700
2 K 0.628 0.170 0.149
3 O 0.110 0.990 0.599
4 O 0.041 0.108 0.842
5 O 0.042 0.649 0.434
6 K 0.128 0.170 0.351
7 K 0.372 0.670 0.351
8 K 0.372 0.830 0.851
9 K 0.556 0.877 0.200
10 O 0.110 0.510 0.099
11 O 0.542 0.851 0.566
12 Pb 0.614 0.438 0.844
13 O 0.390 0.490 0.599
14 K 0.747 0.445 0.034
15 O 0.959 0.892 0.158
16 K 0.872 0.830 0.649
17 K 0.234 0.811 0.057
18 K 0.266 0.189 0.557
19 O 0.458 0.149 0.434
20 O 0.890 0.010 0.401
21 O 0.458 0.351 0.934
22 K 0.734 0.811 0.443
23 Pb 0.386 0.938 0.656
24 Pb 0.386 0.562 0.156
25 K 0.944 0.123 0.700
26 K 0.253 0.945 0.466
27 O 0.610 0.510 0.401
28 O 0.390 0.010 0.099
29 K 0.266 0.311 0.057
30 K 0.056 0.877 0.300
31 O 0.459 0.608 0.842
32 O 0.042 0.851 0.934
33 Pb 0.114 0.062 0.156
34 K 0.444 0.123 0.800
35 O 0.958 0.149 0.066
36 K 0.753 0.945 0.034
37 K 0.628 0.330 0.649
38 O 0.541 0.392 0.158
39 K 0.747 0.055 0.534
40 K 0.766 0.189 0.943
41 K 0.056 0.623 0.800
42 K 0.444 0.377 0.300
43 K 0.753 0.555 0.534
44 K 0.247 0.445 0.466
45 Pb 0.614 0.062 0.344
46 Pb 0.114 0.438 0.656
47 K 0.734 0.689 0.943
48 O 0.958 0.351 0.566
49 O 0.542 0.649 0.066
50 O 0.541 0.108 0.658
51 O 0.959 0.608 0.658
52 K 0.234 0.689 0.557
53 O 0.459 0.892 0.342
54 Pb 0.886 0.562 0.344
55 O 0.890 0.490 0.901
56 O 0.610 0.990 0.901
57 K 0.128 0.330 0.851
58 K 0.247 0.055 0.966
59 O 0.041 0.392 0.342
60 K 0.944 0.377 0.200
61 K 0.253 0.555 0.966
62 K 0.766 0.311 0.443
63 Pb 0.886 0.938 0.844
64 K 0.872 0.670 0.149